(1)
LiAcSmTm | PBE-GGA | optimized geometry

Electronic total energy   -14.603 eV per formula unit
Calculated formation energy   152.6 meV per atom
Calculated volume   32.7 A^3/atom

a = 5.697 Å, b = 5.697 Å, c = 5.697 Å
α = 60.00°, β = 60.00°, γ = 60.00°
Fractional positions:
Tm1 0.500 0.500 0.500
Sm1 0.250 0.250 0.250
Li1 0.000 0.000 0.000
Ac1 0.750 0.750 0.750



(2)
AgAsI2Cl | PBE-GGA | optimized geometry

Electronic total energy   -9.807 eV per formula unit
Calculated volume   32.5 A^3/atom
Formation energy (no corrections)   528 meV/atom

a = 5.615 Å, b = 5.157 Å, c = 5.615 Å
α = 90.00°, β = 90.00°, γ = 90.00°
Last column: magnetic moment on the atom in μB.
Fractional positions:
I1 0.500 0.000 0.000  -0.12
I2 0.000 0.000 0.500  -0.08
Cl1 0.500 0.500 0.500  -0.18
Ag1 0.000 0.000 0.000  0.02
As1 0.000 0.500 0.000  0.47



(3)
YMoAu | PBE-GGA | optimized geometry

Electronic total energy   -17.953 eV per formula unit
Calculated formation energy   873.3 meV per atom
Calculated volume   25.0 A^3/atom
Energy above the most stable polymorph in this dataset   711 meV/atom

a = 4.734 Å, b = 4.734 Å, c = 4.734 Å
α = 60.00°, β = 60.00°, γ = 60.00°
Last column: magnetic moment on the atom in μB.
Fractional positions:
Au1 0.000 0.000 0.000  0.03
Mo1 0.500 0.500 0.500  2.57
Y1 0.750 0.750 0.750  0.19



(4)
HfZr4Sc3 | PBE-GGA | optimized geometry

Electronic total energy   -63.271 eV per formula unit
Calculated formation energy   -16.3 meV per atom
Calculated volume   23.4 A^3/atom
Energy above the most stable polymorph in this dataset   0 meV/atom

a = 5.609 Å, b = 6.544 Å, c = 10.222 Å
α = 90.00°, β = 90.00°, γ = 90.00°
Fractional positions:
Sc1 0.644 0.374 0.749
Sc2 0.144 0.626 0.249
Sc3 0.488 0.624 0.000
Sc4 0.144 0.626 0.751
Sc5 0.644 0.374 0.251
Sc6 0.988 0.376 0.500
Zr1 0.479 0.124 0.000
Zr2 0.647 0.878 0.750
Zr3 0.147 0.122 0.750
Zr4 0.147 0.122 0.250
Zr5 0.979 0.876 0.500
Zr6 0.982 0.877 0.000
Zr7 0.482 0.123 0.500
Zr8 0.647 0.878 0.250
Hf1 0.985 0.366 0.000
Hf2 0.485 0.634 0.500



(5)
BaPr2Rh | PBE-GGA | optimized geometry

Electronic total energy   -20.122 eV per formula unit
Calculated formation energy   -322.1 meV per atom
Calculated volume   38.9 A^3/atom
Energy above the most stable polymorph in this dataset   8 meV/atom

a = 4.226 Å, b = 4.226 Å, c = 10.351 Å
α = 78.22°, β = 78.22°, γ = 60.00°
Fractional positions:
Pr1 0.717 0.717 0.850
Pr2 0.283 0.283 0.150
Ba1 0.500 0.500 0.500
Rh1 0.000 0.000 0.000



(6)
POsN2 | PBE-GGA | optimized geometry

Electronic total energy   -31.786 eV per formula unit
Calculated volume   11.5 A^3/atom
Formation energy (no corrections)   376 meV/atom

a = 2.742 Å, b = 4.248 Å, c = 4.495 Å
α = 68.28°, β = 72.20°, γ = 90.01°
Fractional positions:
Os1 0.225 0.374 0.414
N1 0.911 0.588 0.044
N2 0.308 0.981 0.248
P1 0.947 0.009 0.971



(7)
AlPtW3 | PBE-GGA | optimized geometry

Electronic total energy   -40.021 eV per formula unit
Calculated formation energy   1724.4 meV per atom
Calculated volume   17.9 A^3/atom

a = 4.477 Å, b = 4.477 Å, c = 4.477 Å
α = 90.00°, β = 90.00°, γ = 90.00°
Fractional positions:
Al1 0.000 0.000 0.000
Pt1 0.500 0.500 0.500
W1 0.500 0.000 0.000
W2 0.000 0.000 0.500
W3 0.000 0.500 0.000



(8)
Sc2B2MoOs5 | PBE-GGA | optimized geometry

Electronic total energy   -96.955 eV per formula unit
Calculated formation energy   -395.8 meV per atom
Calculated volume   13.8 A^3/atom

a = 3.049 Å, b = 9.526 Å, c = 9.526 Å
α = 90.00°, β = 90.00°, γ = 90.00°
Fractional positions:
Sc1 0.000 0.676 0.176
Sc2 0.000 0.824 0.676
Sc3 0.000 0.324 0.824
Sc4 0.000 0.176 0.324
Os1 0.500 0.217 0.069
Os2 0.500 0.500 0.000
Os3 0.500 0.283 0.569
Os4 0.500 0.717 0.431
Os5 0.500 0.783 0.931
Os6 0.500 0.931 0.217
Os7 0.500 0.569 0.717
Os8 0.500 0.000 0.500
Os9 0.500 0.069 0.783
Os10 0.500 0.431 0.283
B1 0.000 0.379 0.121
B2 0.000 0.621 0.879
B3 0.000 0.121 0.621
B4 0.000 0.879 0.379
Mo1 0.000 0.000 0.000
Mo2 0.000 0.500 0.500



(9)
YRhOF2 | PBE-GGA | optimized geometry

Electronic total energy   -29.534 eV per formula unit
Calculated volume   14.5 A^3/atom
Energy above the most stable polymorph in this dataset   546 meV/atom
Formation energy (no corrections)   -1404 meV/atom

a = 4.208 Å, b = 4.208 Å, c = 4.089 Å
α = 90.00°, β = 90.00°, γ = 90.00°
Fractional positions:
F1 0.500 0.000 0.000
F2 0.000 0.500 0.000
O1 0.000 0.000 0.500
Rh1 0.000 0.000 0.000
Y1 0.500 0.500 0.500



(10)
LiRuBr2 | PBE-GGA | optimized geometry

Electronic total energy   -14.860 eV per formula unit
Calculated volume   24.3 A^3/atom
Energy above the most stable polymorph in this dataset   87 meV/atom
Formation energy (no corrections)   -81 meV/atom

a = 5.659 Å, b = 5.659 Å, c = 7.277 Å
α = 67.12°, β = 67.12°, γ = 90.00°
Fractional positions:
Br1 0.375 0.366 0.750
Br2 0.116 0.625 0.250
Br3 0.634 0.125 0.250
Br4 0.875 0.884 0.750
Ru1 0.000 0.000 0.000
Ru2 0.750 0.250 0.500
Li1 0.250 0.750 0.500
Li2 0.500 0.500 0.000



(11)
MgCoI | PBE-GGA | optimized geometry

Electronic total energy   -10.397 eV per formula unit
Calculated volume   26.3 A^3/atom
Energy above the most stable polymorph in this dataset   199 meV/atom
Formation energy (no corrections)   -49 meV/atom

a = 4.022 Å, b = 4.190 Å, c = 9.571 Å
α = 102.31°, β = 89.71°, γ = 90.01°
Last column: magnetic moment on the atom in μB.
Fractional positions:
Co1 0.739 0.192 0.383  1.55
Co2 0.240 0.836 0.359  1.22
Mg1 0.242 0.222 0.188  -0.03
Mg2 0.742 0.699 0.177  -0.01
I1 0.743 0.114 0.943  -0.02
I2 0.237 0.451 0.543  0.05



(12)
SbBr2Cl | PBE-GGA | optimized geometry

Electronic total energy   -11.429 eV per formula unit
Calculated volume   35.0 A^3/atom
Energy above the most stable polymorph in this dataset   165 meV/atom
Formation energy (no corrections)   -529 meV/atom

a = 10.246 Å, b = 10.246 Å, c = 7.720 Å
α = 48.43°, β = 48.43°, γ = 90.00°
Fractional positions:
Sb1 0.750 0.250 0.500
Sb2 0.000 0.000 0.000
Br1 0.375 0.231 0.750
Br2 0.875 0.019 0.750
Br3 0.981 0.625 0.250
Br4 0.769 0.125 0.250
Cl1 0.500 0.500 0.000
Cl2 0.250 0.750 0.500



(13)
SrTe2O | PBE-GGA | optimized geometry

Electronic total energy   -11.862 eV per formula unit
Calculated volume   26.9 A^3/atom
Formation energy (no corrections)   265 meV/atom

a = 9.939 Å, b = 9.939 Å, c = 9.939 Å
α = 20.73°, β = 20.73°, γ = 20.73°
Last column: magnetic moment on the atom in μB.
Fractional positions:
Te1 0.111 0.111 0.111  0.01
Te2 0.889 0.889 0.889  0.01
Sr1 0.000 0.000 0.000  0.10
O1 0.500 0.500 0.500  0.00



(14)
HgSeSN2 | PBE-GGA | optimized geometry

Electronic total energy   -17.346 eV per formula unit
Calculated volume   20.4 A^3/atom
Energy above the most stable polymorph in this dataset   8 meV/atom
Formation energy (no corrections)   1444 meV/atom

a = 3.635 Å, b = 3.635 Å, c = 7.730 Å
α = 90.00°, β = 90.00°, γ = 90.00°
Last column: magnetic moment on the atom in μB.
Fractional positions:
Hg1 0.500 0.500 0.500  0.00
N1 0.000 0.500 0.000  0.28
N2 0.500 0.000 0.000  0.28
Se1 0.000 0.000 0.500  0.00
S1 0.000 0.000 0.000  0.01



(15)
Ba2Al4Zn3Cd | PBE-GGA | optimized geometry

Electronic total energy   -25.626 eV per formula unit
Calculated formation energy   -207.3 meV per atom
Calculated volume   23.7 A^3/atom

a = 4.576 Å, b = 4.576 Å, c = 11.322 Å
α = 90.00°, β = 90.00°, γ = 90.00°
Fractional positions:
Al1 0.500 0.000 0.634
Al2 0.500 0.500 0.000
Al3 0.000 0.000 0.000
Al4 0.000 0.500 0.366
Ba1 0.000 0.500 0.754
Ba2 0.500 0.000 0.246
Zn1 0.000 0.000 0.500
Zn2 0.500 0.000 0.873
Zn3 0.000 0.500 0.127
Cd1 0.500 0.500 0.500



(16)
BeB3I | PBE-GGA | optimized geometry

Electronic total energy   -16.169 eV per formula unit
Calculated volume   13.2 A^3/atom
Energy above the most stable polymorph in this dataset   0 meV/atom
Formation energy (no corrections)   1828 meV/atom

a = 4.042 Å, b = 4.042 Å, c = 4.042 Å
α = 90.00°, β = 90.00°, γ = 90.00°
Fractional positions:
I1 0.500 0.500 0.500
B1 0.500 0.000 0.000
B2 0.000 0.500 0.000
B3 0.000 0.000 0.500
Be1 0.000 0.000 0.000



(17)
KPr2Th | PBE-GGA | optimized geometry

Electronic total energy   -17.366 eV per formula unit
Calculated formation energy   177.5 meV per atom
Calculated volume   39.6 A^3/atom

a = 3.686 Å, b = 3.686 Å, c = 13.639 Å
α = 82.23°, β = 82.23°, γ = 60.00°
Fractional positions:
Pr1 0.904 0.904 0.288
Pr2 0.096 0.096 0.712
K1 0.000 0.000 0.000
Th1 0.500 0.500 0.500



(18)
BaBe2P | PBE-GGA | optimized geometry

Electronic total energy   -15.473 eV per formula unit
Calculated formation energy   -172.1 meV per atom
Calculated volume   20.9 A^3/atom

a = 3.725 Å, b = 4.435 Å, c = 5.072 Å
α = 90.01°, β = 90.00°, γ = 90.00°
Fractional positions:
P1 0.500 0.250 0.250
Be1 0.000 0.507 0.250
Be2 0.000 0.993 0.250
Ba1 0.500 0.750 0.750



(19)
Cd2HgRu | PBE-GGA | optimized geometry

Electronic total energy   -10.163 eV per formula unit
Calculated formation energy   311.1 meV per atom
Calculated volume   19.0 A^3/atom

a = 5.325 Å, b = 5.325 Å, c = 5.325 Å
α = 134.32°, β = 134.32°, γ = 66.59°
Last column: magnetic moment on the atom in μB.
Fractional positions:
Hg1 0.500 0.500 0.000  -0.01
Ru1 0.750 0.250 0.500  0.61
Cd1 0.250 0.750 0.500  -0.01
Cd2 0.000 0.000 0.000  -0.01



(20)
Hf6Fe2Mo | PBE-GGA | optimized geometry

Electronic total energy   -86.625 eV per formula unit
Calculated formation energy   94.6 meV per atom
Calculated volume   19.4 A^3/atom

a = 3.134 Å, b = 7.002 Å, c = 8.162 Å
α = 96.07°, β = 101.07°, γ = 90.00°
Last column: magnetic moment on the atom in μB.
Fractional positions:
Fe1 0.800 0.546 0.601  0.88
Fe2 0.200 0.454 0.399  0.88
Hf1 0.957 0.682 0.914  0.02
Hf2 0.043 0.318 0.086  0.02
Hf3 0.634 0.705 0.267  -0.06
Hf4 0.694 0.146 0.388  -0.08
Hf5 0.366 0.295 0.733  -0.06
Hf6 0.306 0.854 0.612  -0.08
Mo1 0.500 0.000 0.000  -0.01